[1]
First-principles (PBE) data for an optimized crystal structure of RbGa2Pt, as listed in Alexandria via LeMat-Bulk.

abc: 4.3540 4.3540 19.4649
angles: 90.00 90.00 120.00
Space group R-3m (No. 166, hexagonal axes)
One atom of each set of equivalent atoms:
Rb  0.0000  0.0000  0.0000 x3
Ga  0.0000  0.0000  0.1954 x6
Pt  0.0000  0.0000  0.5000 x3

Values from the calculation:
- calculated formation energy (meV/atom) = -442
- M_tot (μB/cell) = 0.00
- DFT total energy (eV per atom) = -3.707

=====

[2]
First-principles (PBE) data for an optimized crystal structure of Ce7Hg2Au2, as listed in Alexandria via LeMat-Bulk.

abc: 8.4524 11.1820 6.8847
angles: 90.00 90.00 90.00
Space group Cmmm (No. 65)
One atom of each set of equivalent atoms:
Ce  0.0000  0.0000  0.0000 x2
Ce  0.0000  0.5000  0.2947 x4
Ce  0.2500  0.2500  0.2987 x8
Hg  0.1625  0.0000  0.5000 x4
Au  0.0000  0.2902  0.0000 x4

Values from the calculation:
- calculated formation energy (meV/atom) = -143
- M_tot (μB/cell) = 11.30
- DFT total energy (eV per atom) = -4.570

=====

[3]
First-principles (PBE) data for an optimized crystal structure of MnTcSe2, as listed in Alexandria via LeMat-Bulk.

abc: 3.5384 4.0195 5.0718
angles: 90.00 94.81 90.00
Space group P2/m (No. 10)
One atom of each set of equivalent atoms:
Mn  0.0000  0.0000  0.0000 x1
Tc  0.5000  0.0000  0.5000 x1
Se  0.3187  0.5000  0.7548 x2

Values from the calculation:
- M_tot (μB/cell) = 4.42
- uncorrected formation energy (eV/atom) = 0.3453
- DFT total energy (eV per atom) = -6.281

=====

[4]
First-principles (PBE) data for an optimized crystal structure of LaMg2Tl, as listed in Alexandria via LeMat-Bulk.

abc: 6.8346 9.6950 3.4884
angles: 90.00 90.00 90.00
Space group Cmmm (No. 65)
One atom of each set of equivalent atoms:
La  0.0000  0.0000  0.0000 x2
Mg  0.2500  0.2500  0.5000 x4
Tl  0.0000  0.5000  0.0000 x2

Values from the calculation:
- calculated formation energy (meV/atom) = -53
- M_tot (μB/cell) = 0.00
- DFT total energy (eV per atom) = -2.673

=====

[5]
First-principles (PBE) data for an optimized crystal structure of K4Cd4Sn, as listed in Alexandria via LeMat-Bulk.

abc: 10.1094 10.1094 6.7467
angles: 90.00 90.00 90.00
Space group P4_2/n (No. 86, origin choice 2)
One atom of each set of equivalent atoms:
K  0.0672  0.8378  0.1114 x8
Cd  0.0925  0.1681  0.3937 x8
Sn  0.2500  0.2500  0.7500 x2

Values from the calculation:
- calculated formation energy (meV/atom) = -45
- M_tot (μB/cell) = 0.00
- DFT total energy (eV per atom) = -1.385

=====

[6]
First-principles (PBE) data for an optimized crystal structure of SrAcMg4, as listed in Alexandria via LeMat-Bulk.

abc: 9.0450 9.0450 9.0450
angles: 90.00 90.00 90.00
Space group F-43m (No. 216)
One atom of each set of equivalent atoms:
Sr  0.0000  0.0000  0.0000 x4
Ac  0.2500  0.2500  0.2500 x4
Mg  0.1240  0.1240  0.6240 x16

Values from the calculation:
- calculated formation energy (meV/atom) = -103
- M_tot (μB/cell) = 0.00
- DFT total energy (eV per atom) = -2.131